Here is an optimized crystal structure of Rb3Hg3Au2 from the Alexandria database. Energies are from PBE.

SG   Cmcm
Crystal system   orthorhombic

Lattice parameters (Å, degrees): 6.7690 6.7690 17.6941 90.00 90.00 136.16
With the nearest neighbours (Å) after each atom.
Element x y z (fractional)
Rb: 0.0705 0.9295 0.6035  3 Au 3.64-3.66, 7 Hg 3.65-3.89, 1 Rb 4.07
Rb: 0.0705 0.9295 0.8965  3 Au 3.64-3.66, 7 Hg 3.65-3.89, 1 Rb 4.07
Rb: 0.3619 0.6381 0.7500  5 Hg 3.64-3.80, 4 Au 3.68
Rb: 0.6381 0.3619 0.2500  5 Hg 3.64-3.80, 4 Au 3.68
Rb: 0.9295 0.0705 0.1035  3 Au 3.64-3.66, 7 Hg 3.65-3.89, 1 Rb 4.07
Rb: 0.9295 0.0705 0.3965  3 Au 3.64-3.66, 7 Hg 3.65-3.89, 1 Rb 4.07
Hg: 0.3466 0.6534 0.2500  2 Au 2.94
Hg: 0.3554 0.6446 0.5355  3 Au 3.00-3.10
Hg: 0.3554 0.6446 0.9645  3 Au 3.00-3.10
Hg: 0.6446 0.3554 0.0355  3 Au 3.00-3.10
Hg: 0.6446 0.3554 0.4645  3 Au 3.00-3.10
Hg: 0.6534 0.3466 0.7500  2 Au 2.94
Au: 0.2192 0.7808 0.1106  4 Hg 2.94-3.10
Au: 0.2192 0.7808 0.3894  4 Hg 2.94-3.10
Au: 0.7808 0.2192 0.6106  4 Hg 2.94-3.10
Au: 0.7808 0.2192 0.8894  4 Hg 2.94-3.10



Here is an optimized crystal structure of RbHgAu from the Alexandria database. Energies are from PBE.

SG   P-6m2
Crystal system   hexagonal

Lattice parameters (Å, degrees): 5.0313 5.0313 4.6589 90.00 90.00 120.00
With the nearest neighbours (Å) after each atom.
Element x y z (fractional)
Rb: 0.0000 0.0000 0.0000  6 Hg 3.72, 6 Au 3.72
Hg: 0.6667 0.3333 0.5000  3 Au 2.90
Au: 0.3333 0.6667 0.5000  3 Hg 2.90



Here is an optimized crystal structure of Rb3HgAu8 from the Alexandria database. Energies are from PBE.

SG   R3m
Crystal system   trigonal

Lattice parameters (Å, degrees): 10.2599 10.2599 10.2599 32.99 32.99 32.99
With the nearest neighbours (Å) after each atom.
Element x y z (fractional)
Rb: 0.0000 0.0000 0.0000  12 Au 3.39-3.44, 3 Hg 3.55, 1 Rb 3.69
Rb: 0.1267 0.1267 0.1267  12 Au 3.42-3.49, 4 Rb 3.60-3.69
Rb: 0.5038 0.5038 0.5038  12 Au 3.42-3.56, 3 Rb 3.60, 1 Hg 3.62
Hg: 0.6282 0.6282 0.6282  12 Au 3.39-3.44, 4 Rb 3.55-3.62
Au: 0.0607 0.5640 0.5640  6 Au 2.89-2.98
Au: 0.0654 0.0654 0.5653  6 Au 2.91-2.98
Au: 0.0654 0.5653 0.0654  6 Au 2.91-2.98
Au: 0.3141 0.3141 0.3141  6 Au 2.92-2.93
Au: 0.5640 0.0607 0.5640  6 Au 2.89-2.98
Au: 0.5640 0.5640 0.0607  6 Au 2.89-2.98
Au: 0.5653 0.0654 0.0654  6 Au 2.91-2.98
Au: 0.8143 0.8143 0.8143  6 Au 2.98



Here is an optimized crystal structure of RbHg5Au2 from the Alexandria database. Energies are from PBE.

SG   Immm
Crystal system   orthorhombic

Lattice parameters (Å, degrees): 7.4524 7.4524 7.4524 143.12 111.81 80.13
With the nearest neighbours (Å) after each atom.
Element x y z (fractional)
Rb: 0.0000 0.0000 0.0000  4 Au 3.71, 8 Hg 3.87
Hg: 0.1597 0.3524 0.8073  3 Au 2.83-3.08
Hg: 0.4549 0.6476 0.8073  3 Au 2.83-3.08
Hg: 0.5000 0.0000 0.5000  2 Au 2.83
Hg: 0.5451 0.3524 0.1927  3 Au 2.83-3.08
Hg: 0.8403 0.6476 0.1927  3 Au 2.83-3.08
Au: 0.2515 0.7515 0.5000  7 Hg 2.83-3.08
Au: 0.7485 0.2485 0.5000  7 Hg 2.83-3.08



Here is an optimized crystal structure of Rb4Hg2Au from the Alexandria database. Energies are from PBE.

SG   C2/m
Crystal system   monoclinic

Lattice parameters (Å, degrees): 9.9560 9.9560 6.5705 101.10 101.10 31.42
With the nearest neighbours (Å) after each atom.
Element x y z (fractional)
Rb: 0.1000 0.1000 0.0650  3 Hg 3.58-3.72, 2 Au 3.75-3.82, 1 Rb 3.76
Rb: 0.3675 0.3675 0.4290  2 Au 3.67, 4 Hg 3.74-3.97
Rb: 0.6325 0.6325 0.5710  2 Au 3.67, 4 Hg 3.74-3.97
Rb: 0.9000 0.9000 0.9350  3 Hg 3.58-3.72, 2 Au 3.75-3.82, 1 Rb 3.76
Hg: 0.2638 0.2638 0.8826  2 Hg 3.20, 1 Rb 3.58
Hg: 0.7362 0.7362 0.1174  2 Hg 3.20, 1 Rb 3.58
Au: 0.0000 0.0000 0.5000  8 Rb 3.67-3.82



Here is an optimized crystal structure of RbHg4Au from the Alexandria database. Energies are from PBE.

SG   Pmma
Crystal system   orthorhombic

Lattice parameters (Å, degrees): 9.0845 4.5804 8.6499 90.00 90.00 90.00
With the nearest neighbours (Å) after each atom.
Element x y z (fractional)
Rb: 0.2500 0.0000 0.1060  1 Au 3.50, 10 Hg 3.62-3.82
Rb: 0.7500 0.0000 0.8940  1 Au 3.50, 10 Hg 3.62-3.82
Hg: 0.0000 0.0000 0.5000  2 Au 2.86
Hg: 0.0626 0.5000 0.8133  2 Au 3.01
Hg: 0.2500 0.5000 0.4300  6 Hg 3.28-3.53, 2 Au 3.28, 2 Rb 3.62
Hg: 0.4374 0.5000 0.8133  2 Au 3.01
Hg: 0.5000 0.0000 0.5000  2 Au 2.86
Hg: 0.5626 0.5000 0.1867  2 Au 3.01
Hg: 0.7500 0.5000 0.5700  6 Hg 3.28-3.53, 2 Au 3.28, 2 Rb 3.62
Hg: 0.9374 0.5000 0.1867  2 Au 3.01
Au: 0.2500 0.0000 0.7018  6 Hg 2.86-3.01
Au: 0.7500 0.0000 0.2982  6 Hg 2.86-3.01



Here is an optimized crystal structure of RbHg8Au4 from the Alexandria database. Energies are from PBE.

SG   R-3m
Crystal system   trigonal

Lattice parameters (Å, degrees): 9.2603 9.2603 9.2603 56.60 56.60 56.60
With the nearest neighbours (Å) after each atom.
Element x y z (fractional)
Rb: 0.0000 0.0000 0.0000  6 Hg 3.56
Hg: 0.2764 0.2764 0.2764  3 Au 2.86
Hg: 0.2797 0.2797 0.6787  3 Au 2.87-2.97
Hg: 0.2797 0.6787 0.2797  3 Au 2.87-2.97
Hg: 0.3213 0.7203 0.7203  3 Au 2.87-2.97
Hg: 0.6787 0.2797 0.2797  3 Au 2.87-2.97
Hg: 0.7203 0.3213 0.7203  3 Au 2.87-2.97
Hg: 0.7203 0.7203 0.3213  3 Au 2.87-2.97
Hg: 0.7236 0.7236 0.7236  3 Au 2.86
Au: 0.0000 0.5000 0.5000  6 Hg 2.86-2.97
Au: 0.5000 0.0000 0.5000  6 Hg 2.86-2.97
Au: 0.5000 0.5000 0.0000  6 Hg 2.86-2.97
Au: 0.5000 0.5000 0.5000  6 Hg 2.87



Here is an optimized crystal structure of Rb3Hg4Au3 from the Alexandria database. Energies are from PBE.

SG   I-43d
Crystal system   cubic

Lattice parameters (Å, degrees): 9.6486 9.6486 9.6486 109.47 109.47 109.47
With the nearest neighbours (Å) after each atom.
Element x y z (fractional)
Rb: 0.1250 0.7500 0.8750  4 Au 3.41, 4 Hg 3.72
Rb: 0.2500 0.6250 0.3750  4 Au 3.41, 4 Hg 3.72
Rb: 0.3750 0.2500 0.6250  4 Au 3.41, 4 Hg 3.72
Rb: 0.6250 0.3750 0.2500  4 Au 3.41, 4 Hg 3.72
Rb: 0.7500 0.8750 0.1250  4 Au 3.41, 4 Hg 3.72
Rb: 0.8750 0.1250 0.7500  4 Au 3.41, 4 Hg 3.72
Hg: 0.0000 0.3563 0.5000  3 Au 3.06
Hg: 0.0000 0.8563 0.5000  3 Au 3.06
Hg: 0.1437 0.1437 0.1437  3 Au 3.06
Hg: 0.3563 0.5000 0.0000  3 Au 3.06
Hg: 0.5000 0.0000 0.3563  3 Au 3.06
Hg: 0.5000 0.0000 0.8563  3 Au 3.06
Hg: 0.6437 0.6437 0.6437  3 Au 3.06
Hg: 0.8563 0.5000 0.0000  3 Au 3.06
Au: 0.1250 0.8750 0.2500  4 Hg 3.06, 4 Rb 3.41
Au: 0.2500 0.1250 0.8750  4 Hg 3.06, 4 Rb 3.41
Au: 0.3750 0.6250 0.7500  4 Hg 3.06, 4 Rb 3.41
Au: 0.6250 0.7500 0.3750  4 Hg 3.06, 4 Rb 3.41
Au: 0.7500 0.3750 0.6250  4 Hg 3.06, 4 Rb 3.41
Au: 0.8750 0.2500 0.1250  4 Hg 3.06, 4 Rb 3.41



Here is an optimized crystal structure of Rb3Hg3Au from the Alexandria database. Energies are from PBE.

SG   C2/m
Crystal system   monoclinic

Lattice parameters (Å, degrees): 6.9032 6.9032 17.7488 107.46 107.46 43.51
With the nearest neighbours (Å) after each atom.
Element x y z (fractional)
Rb: 0.0293 0.0293 0.3934  7 Hg 3.63-3.96, 3 Au 3.67-3.78
Rb: 0.1083 0.1083 0.9189  7 Hg 3.71-3.86
Rb: 0.2550 0.2550 0.2443  6 Hg 3.65-3.91, 2 Au 3.68
Rb: 0.7450 0.7450 0.7557  6 Hg 3.65-3.91, 2 Au 3.68
Rb: 0.8917 0.8917 0.0811  7 Hg 3.71-3.86
Rb: 0.9707 0.9707 0.6066  7 Hg 3.63-3.96, 3 Au 3.67-3.78
Hg: 0.3413 0.3413 0.4614  3 Au 3.01-3.13
Hg: 0.3996 0.3996 0.9205  2 Hg 3.11-3.15
Hg: 0.4541 0.4541 0.7620  1 Au 2.93, 1 Hg 3.11
Hg: 0.5459 0.5459 0.2380  1 Au 2.93, 1 Hg 3.11
Hg: 0.6004 0.6004 0.0795  2 Hg 3.11-3.15
Hg: 0.6587 0.6587 0.5386  3 Au 3.01-3.13
Au: 0.2685 0.2685 0.6134  4 Hg 2.93-3.13
Au: 0.7315 0.7315 0.3866  4 Hg 2.93-3.13



Here is an optimized crystal structure of Rb5Hg3Au3 from the Alexandria database. Energies are from PBE.

SG   P-62m
Crystal system   hexagonal

Lattice parameters (Å, degrees): 10.6140 10.6140 5.4290 90.00 90.00 120.00
With the nearest neighbours (Å) after each atom.
Element x y z (fractional)
Rb: 0.0000 0.7441 0.0000  2 Au 3.49
Rb: 0.2559 0.2559 0.0000  2 Au 3.49
Rb: 0.3333 0.6667 0.0000  3 Au 3.35
Rb: 0.6667 0.3333 0.0000  3 Au 3.35
Rb: 0.7441 0.0000 0.0000  2 Au 3.49
Hg: 0.0000 0.3710 0.5000  2 Au 2.71
Hg: 0.3710 0.0000 0.5000  2 Au 2.71
Hg: 0.6290 0.6290 0.5000  2 Au 2.71
Au: 0.0000 0.3714 0.0000  2 Hg 2.71
Au: 0.3714 0.0000 0.0000  2 Hg 2.71
Au: 0.6286 0.6286 0.0000  2 Hg 2.71



Here is an optimized crystal structure of Rb2Hg2Au from the Alexandria database. Energies are from PBE.

SG   P4/mbm
Crystal system   tetragonal

Lattice parameters (Å, degrees): 9.3442 9.3442 5.2853 90.00 90.00 90.00
With the nearest neighbours (Å) after each atom.
Element x y z (fractional)
Rb: 0.1817 0.3183 0.0000  2 Au 3.42, 2 Hg 3.72
Rb: 0.3183 0.8183 0.0000  2 Au 3.42, 2 Hg 3.72
Rb: 0.6817 0.1817 0.0000  2 Au 3.42, 2 Hg 3.72
Rb: 0.8183 0.6817 0.0000  2 Au 3.42, 2 Hg 3.72
Hg: 0.1197 0.6197 0.5000  1 Hg 3.16
Hg: 0.3803 0.1197 0.5000  1 Hg 3.16
Hg: 0.6197 0.8803 0.5000  1 Hg 3.16
Hg: 0.8803 0.3803 0.5000  1 Hg 3.16
Au: 0.0000 0.0000 0.0000  4 Rb 3.42
Au: 0.5000 0.5000 0.0000  4 Rb 3.42



Here is an optimized crystal structure of Rb2Hg2Au from the Alexandria database. Energies are from PBE.

SG   I4_1/amd
Crystal system   tetragonal

Lattice parameters (Å, degrees): 16.0282 16.0282 16.0282 161.50 161.50 26.28
With the nearest neighbours (Å) after each atom.
Element x y z (fractional)
Rb: 0.0532 0.3032 0.7500  2 Au 3.42, 4 Hg 3.70
Rb: 0.3032 0.0532 0.2500  2 Au 3.42, 4 Hg 3.70
Rb: 0.6968 0.9468 0.7500  2 Au 3.42, 4 Hg 3.70
Rb: 0.9468 0.6968 0.2500  2 Au 3.42, 4 Hg 3.70
Hg: 0.1759 0.4259 0.7500  2 Au 3.03
Hg: 0.4259 0.1759 0.2500  2 Au 3.03
Hg: 0.5741 0.8241 0.7500  2 Au 3.03
Hg: 0.8241 0.5741 0.2500  2 Au 3.03
Au: 0.3750 0.6250 0.7500  4 Hg 3.03
Au: 0.6250 0.3750 0.2500  4 Hg 3.03



no.,ρ (g/cm3),total moment (μB per cell),formation energy from the elements (eV/atom)
1,7.40,0.00,-0.29
2,7.85,0.00,-0.28
3,11.84,0.00,-0.15
4,10.96,0.00,-0.11
5,4.69,0.00,-0.19
6,10.01,0.00,-0.15
7,7.95,0.00,0.10
8,7.92,0.00,-0.23
9,6.36,0.00,-0.26
10,5.08,0.00,-0.21
11,5.53,0.00,-0.10
12,6.16,0.00,-0.22